Entry 1:
DFT (PBE) results for Ho12Bi3N5 after structural relaxation.

Cell and atoms, written as POSCAR:
```
Ho12Bi3N5
1.0
-7.834 7.834 7.834
7.834 -7.834 7.834
7.834 7.834 -7.834
Ho Bi N
48 12 20
Direct
0.005 0.193 0.105
0.005 0.312 0.900
0.088 0.693 0.688
0.088 0.895 0.400
0.100 0.605 0.412
0.100 0.995 0.688
0.105 0.005 0.193
0.105 0.600 0.912
0.188 0.193 0.588
0.188 0.495 0.600
0.193 0.105 0.005
0.193 0.588 0.188
0.307 0.312 0.912
0.307 0.495 0.395
0.312 0.900 0.005
0.312 0.912 0.307
0.395 0.307 0.495
0.395 0.588 0.900
0.400 0.088 0.895
0.400 0.812 0.505
0.412 0.100 0.605
0.412 0.812 0.807
0.495 0.395 0.307
0.495 0.600 0.188
0.505 0.400 0.812
0.505 0.605 0.693
0.588 0.188 0.193
0.588 0.900 0.395
0.600 0.188 0.495
0.600 0.912 0.105
0.605 0.412 0.100
0.605 0.693 0.505
0.688 0.088 0.693
0.688 0.100 0.995
0.693 0.505 0.605
0.693 0.688 0.088
0.807 0.412 0.812
0.807 0.895 0.995
0.812 0.505 0.400
0.812 0.807 0.412
0.895 0.400 0.088
0.895 0.995 0.807
0.900 0.005 0.312
0.900 0.395 0.588
0.912 0.105 0.600
0.912 0.307 0.312
0.995 0.688 0.100
0.995 0.807 0.895
0.125 0.250 0.375
0.125 0.375 0.750
0.250 0.375 0.125
0.250 0.875 0.625
0.375 0.125 0.250
0.375 0.750 0.125
0.625 0.250 0.875
0.625 0.875 0.750
0.750 0.125 0.375
0.750 0.625 0.875
0.875 0.625 0.250
0.875 0.750 0.625
0.000 0.000 0.000
0.000 0.000 0.500
0.000 0.500 0.000
0.000 0.500 0.500
0.125 0.750 0.875
0.125 0.875 0.250
0.250 0.125 0.875
0.250 0.625 0.375
0.375 0.250 0.625
0.375 0.625 0.750
0.500 0.000 0.000
0.500 0.000 0.500
0.500 0.500 0.000
0.500 0.500 0.500
0.625 0.375 0.250
0.625 0.750 0.375
0.750 0.375 0.625
0.750 0.875 0.125
0.875 0.125 0.750
0.875 0.250 0.125
```

Summary:
V: 480.8 Å³/f.u.
DFT total energy: -507.07 eV per cell
raw formation energy: -0.93 eV/atom

=====

Entry 2:
DFT (PBE) results for Ho4Bi3N after structural relaxation.

Cell and atoms, written as POSCAR:
```
Ho4Bi3N
1.0
9.716 0.000 0.000
0.000 8.609 0.000
0.000 0.000 6.276
Ho Bi N
8 6 2
Direct
0.000 0.086 0.000
0.000 0.819 0.570
0.201 0.700 0.003
0.299 0.300 0.503
0.500 0.181 0.070
0.500 0.914 0.500
0.701 0.300 0.503
0.799 0.700 0.003
0.000 0.161 0.489
0.231 0.340 0.991
0.269 0.660 0.491
0.500 0.839 0.989
0.731 0.660 0.491
0.769 0.340 0.991
0.000 0.823 0.927
0.500 0.177 0.427
```

Summary:
V: 262.5 Å³/f.u.
DFT total energy: -88.96 eV per cell
raw formation energy: -0.78 eV/atom

=====

Entry 3:
DFT (PBE) results for Ho5Bi4N after structural relaxation.

Cell and atoms, written as POSCAR:
```
Ho5Bi4N
1.0
-4.734 4.734 3.136
4.734 -4.734 3.136
4.734 4.734 -3.136
Ho Bi N
5 4 1
Direct
0.000 0.000 0.000
0.336 0.681 0.848
0.488 0.336 0.655
0.681 0.833 0.345
0.833 0.488 0.152
0.006 0.777 0.608
0.169 0.398 0.392
0.398 0.006 0.229
0.777 0.169 0.771
0.643 0.643 0.000
```

Summary:
V: 281.1 Å³/f.u.
DFT total energy: -55.06 eV per cell
raw formation energy: -0.83 eV/atom

=====

Entry 4:
DFT (PBE) results for Ho2PaBi2N2 after structural relaxation.

Cell and atoms, written as POSCAR:
```
Ho2PaBi2N2
1.0
-2.194 2.194 8.201
2.194 -2.194 8.201
2.194 2.194 -8.201
Ho Pa Bi N
2 1 2 2
Direct
0.107 0.107 0.000
0.893 0.893 0.000
0.500 0.500 0.000
0.305 0.305 0.000
0.695 0.695 0.000
0.000 0.500 0.500
0.500 0.000 0.500
```

Summary:
V: 157.9 Å³/f.u.
DFT total energy: -49.91 eV per cell
raw formation energy: -0.98 eV/atom

=====

Entry 5:
DFT (PBE) results for HoPaBi2N after structural relaxation.

Cell and atoms, written as POSCAR:
```
HoPaBi2N
1.0
4.146 0.000 0.000
0.000 4.146 0.000
0.000 0.000 14.797
Ho Pa Bi N
2 2 4 2
Direct
0.250 0.250 0.083
0.750 0.750 0.917
0.250 0.250 0.572
0.750 0.750 0.428
0.250 0.250 0.302
0.250 0.250 0.859
0.750 0.750 0.141
0.750 0.750 0.698
0.250 0.750 0.500
0.750 0.250 0.500
```

Summary:
V: 127.2 Å³/f.u.
DFT total energy: -69.13 eV per cell
raw formation energy: -0.88 eV/atom

=====

Entry 6:
DFT (PBE) results for Pm4Ho2Bi3N2 after structural relaxation.

Cell and atoms, written as POSCAR:
```
Pm4Ho2Bi3N2
1.0
-2.400 2.400 13.032
2.400 -2.400 13.032
2.400 2.400 -13.032
Pm Ho Bi N
4 2 3 2
Direct
0.085 0.585 0.500
0.415 0.915 0.500
0.585 0.085 0.500
0.915 0.415 0.500
0.191 0.191 0.000
0.809 0.809 0.000
0.317 0.317 0.000
0.500 0.500 0.000
0.683 0.683 0.000
0.107 0.107 0.000
0.893 0.893 0.000
```

Summary:
V: 300.4 Å³/f.u.
DFT total energy: -67.48 eV per cell
raw formation energy: -1.00 eV/atom

=====

Entry 7:
DFT (PBE) results for Pr2HoBi2N2 after structural relaxation.

Cell and atoms, written as POSCAR:
```
Pr2HoBi2N2
1.0
-2.267 2.267 8.197
2.267 -2.267 8.197
2.267 2.267 -8.197
Pr Ho Bi N
2 1 2 2
Direct
0.093 0.093 0.000
0.907 0.907 0.000
0.500 0.500 0.000
0.287 0.287 0.000
0.713 0.713 0.000
0.000 0.500 0.500
0.500 0.000 0.500
```

Summary:
V: 168.5 Å³/f.u.
DFT total energy: -44.77 eV per cell
raw formation energy: -0.89 eV/atom

=====

Entry 8:
DFT (PBE) results for Ho3BiSeN after structural relaxation.

Cell and atoms, written as POSCAR:
```
Ho3BiSeN
1.0
8.724 0.000 0.000
0.000 4.103 0.000
-1.642 0.000 8.956
Ho Bi Se N
6 2 2 2
Direct
0.088 0.250 0.349
0.348 0.250 0.989
0.388 0.750 0.663
0.612 0.250 0.337
0.652 0.750 0.011
0.912 0.750 0.651
0.328 0.750 0.289
0.672 0.250 0.711
0.147 0.250 0.664
0.853 0.750 0.336
0.406 0.750 0.902
0.594 0.250 0.098
```

Summary:
V: 160.3 Å³/f.u.
DFT total energy: -74.48 eV per cell
raw formation energy: -1.30 eV/atom